InRePd2 | OQMD | PBE-GGA | optimized geometry; space-group type = F-43m, No. 216; crystal system = cubic; DFT total energy = -6.079 eV/atom
1.0
0.0000 3.1966 3.1966
3.1966 0.0000 3.1966
3.1966 3.1966 0.0000
In Re Pd
1 1 2
Cartesian
0.0000 0.0000 0.0000
1.5983 1.5983 1.5983
3.1966 3.1966 3.1966
4.7950 4.7950 4.7950

***

BaYCuSeS2 | OQMD | PBE-GGA | optimized geometry; space-group type = Cmcm, No. 63; crystal system = orthorhombic; DFT total energy = -5.628 eV/atom
1.0
2.0358 -6.9372 0.0000
2.0358 6.9372 0.0000
0.0000 0.0000 10.5552
Ba Y Cu Se S
2 2 2 2 4
Cartesian
2.0358 3.5809 7.9164
2.0358 -3.5809 2.6388
0.0000 0.0000 0.0000
0.0000 0.0000 5.2776
2.0358 0.4263 2.6388
2.0358 -0.4263 7.9164
2.0358 5.8825 2.6388
2.0358 -5.8825 7.9164
2.0358 1.7493 0.7148
2.0358 1.7493 4.5628
2.0358 -1.7493 5.9924
2.0358 -1.7493 9.8404

***

TbBSb2O8 | OQMD | PBE-GGA | optimized geometry; space-group type = Pnma, No. 62; crystal system = orthorhombic; DFT total energy = -7.010 eV/atom
1.0
12.5440 0.0000 0.0000
0.0000 7.2625 0.0000
0.0000 0.0000 12.6908
Tb B Sb O
8 8 16 64
Cartesian
0.5839 1.8156 2.9734
3.1154 5.4468 6.1065
3.1566 1.8156 12.4520
5.6881 5.4468 9.3188
6.8559 1.8156 3.3721
9.3874 5.4468 0.2389
9.4286 1.8156 6.5843
11.9601 5.4468 9.7175
2.7947 5.4468 9.4661
3.0456 1.8156 9.3658
3.2264 5.4468 3.0204
3.4773 1.8156 3.1207
9.0667 5.4468 9.5702
9.3176 1.8156 9.6705
9.4984 5.4468 3.3251
9.7493 1.8156 3.2247
0.0000 0.0000 0.0000
0.0000 0.0000 6.3454
0.0000 3.6312 0.0000
0.0000 3.6312 6.3454
0.1171 5.4468 3.1999
3.1328 1.8156 6.1050
3.1392 5.4468 12.4504
6.1549 1.8156 9.5454
6.2720 0.0000 0.0000
6.2720 0.0000 6.3454
6.2720 3.6312 0.0000
6.2720 3.6312 6.3454
6.3891 5.4468 3.1455
9.4048 1.8156 0.2404
9.4112 5.4468 6.5858
12.4269 1.8156 9.4909
0.0646 0.2426 8.3177
0.0646 3.3887 8.3177
0.4705 3.9813 1.8967
0.4705 6.9124 1.8967
0.6054 5.4468 6.7293
0.6279 1.8156 0.4403
1.5086 5.4468 9.7481
1.8458 1.8156 10.0772
1.8921 3.9233 12.2225
1.8921 6.9704 12.2225
1.9376 0.2523 6.2514
1.9376 3.3789 6.2514
2.1026 5.4468 3.8566
2.5353 1.8156 4.2056
2.8145 1.8156 1.9248
3.0562 5.4468 1.6947
3.2157 1.8156 8.0401
3.4575 5.4468 8.2702
3.7367 5.4468 10.5510
4.1694 1.8156 10.2020
4.3344 3.8836 12.5968
4.3344 7.0101 12.5968
4.3799 0.2921 5.8771
4.3799 3.3391 5.8771
4.4261 5.4468 3.7318
4.7634 1.8156 3.4027
5.6441 5.4468 6.7857
5.6666 1.8156 0.3838
5.8015 0.3500 8.2422
5.8015 3.2812 8.2422
6.2074 3.8738 1.9723
6.2074 7.0199 1.9723
6.3366 0.2426 10.7186
6.3366 3.3887 10.7186
6.7425 3.9813 4.4487
6.7425 6.9124 4.4487
6.8773 5.4468 12.3070
6.8999 1.8156 5.9051
7.7806 5.4468 9.2881
8.1178 1.8156 8.9590
8.1641 3.9233 6.8138
8.1641 6.9704 6.8138
8.2096 0.2523 0.0940
8.2096 3.3789 0.0940
8.3745 5.4468 2.4888
8.8073 1.8156 2.1398
9.0865 1.8156 4.4207
9.3282 5.4468 4.6507
9.4877 1.8156 10.9962
9.7294 5.4468 10.7661
10.0087 5.4468 8.4852
10.4414 1.8156 8.8342
10.6063 3.8836 6.4394
10.6063 7.0101 6.4394
10.6518 0.2921 0.4684
10.6518 3.3391 0.4684
10.6981 5.4468 2.6136
11.0354 1.8156 2.9427
11.9160 5.4468 12.2505
11.9386 1.8156 5.9616
12.0734 0.3500 10.7941
12.0734 3.2812 10.7941
12.4794 3.8738 4.3731
12.4794 7.0199 4.3731

***

> What is the DFT total energy in the second record?

-5.628 eV/atom

***

> Among the records above, which one has the lowest DFT total energy?

TbBSb2O8

***

Copy entry 1 word for word.
InRePd2 | OQMD | PBE-GGA | optimized geometry; space-group type = F-43m, No. 216; crystal system = cubic; DFT total energy = -6.079 eV/atom
1.0
0.0000 3.1966 3.1966
3.1966 0.0000 3.1966
3.1966 3.1966 0.0000
In Re Pd
1 1 2
Cartesian
0.0000 0.0000 0.0000
1.5983 1.5983 1.5983
3.1966 3.1966 3.1966
4.7950 4.7950 4.7950